Entry 1:
Compound: Mn2SbRu
Source: Alexandria via LeMat-Bulk
Functional: GGA-PBEsol
Structure: relaxed

a b c (Å): 3.7860 3.7860 4.6772
angles (deg): 113.87 113.87 90.00
Site moments in Bohr magnetons follow the coordinates.
Sites, in units of the cell vectors:
1 Mn 0.2500 0.7500 0.5000  1.85
2 Mn 0.7500 0.2500 0.5000  1.85
3 Sb 0.5000 0.5000 0.0000  -0.07
4 Ru 0.0000 0.0000 0.0000  -0.16

Calculated values
The raw formation energy is 4.46 kcal/mol of atoms. Its symmetry is I4/mmm (139). The density of states at the Fermi level comes out at 0.96 states/eV/atom.

***

Entry 2:
Compound: MnSb2TeRu
Source: Alexandria via LeMat-Bulk
Functional: GGA-PBEsol
Structure: relaxed

a b c (Å): 4.9080 4.9080 5.6111
angles (deg): 90.00 90.00 90.00
Site moments in Bohr magnetons follow the coordinates.
Sites, in units of the cell vectors:
1 Sb 0.5000 0.0000 0.0000  -0.03
2 Sb 0.0000 0.5000 0.0000  -0.03
3 Mn 0.5000 0.5000 0.5000  4.42
4 Ru 0.0000 0.0000 0.0000  0.01
5 Te 0.0000 0.0000 0.5000  0.01

Calculated values
The raw formation energy is 17.94 kcal/mol of atoms. Its symmetry is P4/mmm (123). The density of states at the Fermi level comes out at 0.56 states/eV/atom.

***

Entry 3:
Compound: Sc2MnRu
Source: Alexandria via LeMat-Bulk
Functional: GGA-PBEsol
Structure: relaxed

a b c (Å): 4.5044 4.5044 4.5044
angles (deg): 60.00 60.00 60.00
Site moments in Bohr magnetons follow the coordinates.
Sites, in units of the cell vectors:
1 Ru 0.2500 0.2500 0.2500  0.29
2 Sc 0.7500 0.7500 0.7500  -0.07
3 Sc 0.0000 0.0000 0.0000  -0.11
4 Mn 0.5000 0.5000 0.5000  3.06

Calculated values
For the formation energy, the calculation gives 0.053 eV per atom. Its symmetry is F-43m (216). The density of states at the Fermi level comes out at 1.44 states/eV/atom.

***

Entry 4:
Compound: Sc2MnRu
Source: Alexandria via LeMat-Bulk
Functional: GGA-PBEsol
Structure: relaxed

a b c (Å): 3.1823 3.1823 6.4246
angles (deg): 90.00 90.00 90.00
Site moments in Bohr magnetons follow the coordinates.
Sites, in units of the cell vectors:
1 Sc 0.0000 0.0000 0.7389  -0.12
2 Sc 0.0000 0.0000 0.2611  -0.12
3 Ru 0.5000 0.5000 0.5000  0.08
4 Mn 0.5000 0.5000 0.0000  2.75

Calculated values
For the formation energy, the calculation gives -0.188 eV per atom. Its symmetry is P4/mmm (123). The density of states at the Fermi level comes out at 0.94 states/eV/atom.

***

Entry 5:
Compound: Sc2MnRu
Source: Alexandria via LeMat-Bulk
Functional: GGA-PBEsol
Structure: relaxed

a b c (Å): 3.0655 4.4035 5.3888
angles (deg): 114.12 106.52 90.00
Site moments in Bohr magnetons follow the coordinates.
Sites, in units of the cell vectors:
1 Sc 0.7631 0.2631 0.5262  -0.10
2 Sc 0.9857 0.9857 0.9714  -0.14
3 Ru 0.2313 0.7313 0.4627  0.00
4 Mn 0.5199 0.5199 0.0397  1.08

Calculated values
For the formation energy, the calculation gives -0.142 eV per atom. Its symmetry is Imm2 (44). The density of states at the Fermi level comes out at 0.81 states/eV/atom.

***

Entry 6:
Compound: ScMnRu
Source: Alexandria via LeMat-Bulk
Functional: GGA-PBEsol
Structure: relaxed

a b c (Å): 2.9472 2.9472 5.4774
angles (deg): 105.61 105.61 90.00
Site moments in Bohr magnetons follow the coordinates.
Sites, in units of the cell vectors:
1 Sc 0.3354 0.3354 0.6709  -0.11
2 Ru 0.6466 0.6466 0.2931  0.05
3 Mn 0.0180 0.0180 0.0360  1.57

Calculated values
For the formation energy, the calculation gives -0.030 eV per atom. Its symmetry is I4mm (107). The density of states at the Fermi level comes out at 1.01 states/eV/atom.

***

Entry 7:
Compound: ScTiMn2Ru
Source: Alexandria via LeMat-Bulk
Functional: GGA-PBEsol
Structure: relaxed

a b c (Å): 4.3144 4.3144 4.5184
angles (deg): 90.00 90.00 90.00
Site moments in Bohr magnetons follow the coordinates.
Sites, in units of the cell vectors:
1 Mn 0.5000 0.0000 0.0000  2.58
2 Mn 0.0000 0.5000 0.0000  2.58
3 Ru 0.0000 0.0000 0.5000  0.23
4 Ti 0.0000 0.0000 0.0000  -0.42
5 Sc 0.5000 0.5000 0.5000  -0.11

Calculated values
For the formation energy, the calculation gives 0.675 eV per atom. Its symmetry is P4/mmm (123). The density of states at the Fermi level comes out at 0.52 states/eV/atom.

***

Entry 8:
Compound: MnRu2Se
Source: Alexandria via LeMat-Bulk
Functional: GGA-PBEsol
Structure: relaxed

a b c (Å): 3.0284 3.0291 5.9442
angles (deg): 90.00 90.00 90.00
Site moments in Bohr magnetons follow the coordinates.
Sites, in units of the cell vectors:
1 Mn 0.5000 0.5000 0.5000  3.04
2 Se 0.5000 0.5000 0.0000  0.03
3 Ru 0.0000 0.0000 0.2585  0.10
4 Ru 0.0000 0.0000 0.7415  0.10

Calculated values
The raw formation energy is 3.95 kcal/mol of atoms. Its symmetry is P4/mmm (123). The density of states at the Fermi level comes out at 0.80 states/eV/atom.